Record 1
Density functional theory data (PBE) for a geometry-optimized MnCoSiI2 structure.

Cell: 5.7965 5.7965 4.4302 Å, 90.00 90.00 90.00°
Closest atoms and distances in Å follow each position.
Space group P4/mmm (No. 123)
One atom of each set of equivalent atoms:
Mn1 0.0000 0.0000 0.0000 x1  8 I 3.65
Co1 0.5000 0.5000 0.0000 x1  2 Si 2.22
Si1 0.5000 0.5000 0.5000 x1  2 Co 2.22
I1 0.0000 0.5000 0.5000 x2  2 Si 2.90

## Properties
Calculated volume: 148.85 Å³ per cell
Raw formation energy: 0.87 eV per atom

***

Record 2
Density functional theory data (PBE) for a geometry-optimized Mn2TlCoI structure.

Cell: 4.7893 4.7893 5.1713 Å, 90.00 90.00 90.00°
Closest atoms and distances in Å follow each position.
Space group P4/mmm (No. 123)
One atom of each set of equivalent atoms:
Mn1 0.0000 0.5000 0.0000 x2  2 Co 2.39
Tl1 0.0000 0.0000 0.5000 x1  4 I 3.39, 8 Mn 3.52
Co1 0.5000 0.5000 0.0000 x1  4 Mn 2.39, 2 I 2.59
I1 0.5000 0.5000 0.5000 x1  2 Co 2.59

## Properties
Calculated volume: 118.62 Å³ per cell
Raw formation energy: 0.72 eV per atom

***

Record 3
Density functional theory data (PBE) for a geometry-optimized MnCo2WI structure.

Cell: 4.4459 4.4459 4.6860 Å, 90.00 90.00 90.00°
Closest atoms and distances in Å follow each position.
Space group P4/mmm (No. 123)
One atom of each set of equivalent atoms:
Mn1 0.0000 0.0000 0.0000 x1  2 I 2.34
Co1 0.0000 0.5000 0.5000 x2  2 I 2.22
W1 0.5000 0.5000 0.0000 x1  4 Mn 3.14, 8 Co 3.23
I1 0.0000 0.0000 0.5000 x1  4 Co 2.22, 2 Mn 2.34

## Properties
Calculated volume: 92.62 Å³ per cell
Raw formation energy: 2.03 eV per atom